Entry from Alexandria: crystalline LaTmPa at its relaxed geometry (PBE-GGA).

abc: 3.4364 3.4364 8.6743
angles: 90.00 90.00 120.00
Space group P3m1 (No. 156)
Symmetry-distinct sites (fractional):
La: 0.0000 0.0000 0.0000
Tm: 0.3333 0.6667 0.6335
Pa: 0.6667 0.3333 0.3229

Computed properties:
- ΔE_f: 0.138 eV/atom
- Density: 10.1 g/cm³
- V: 89 Å³/f.u.
- Polymorph energy (0 for the lowest one): 5.9 meV/atom